# 1
KCuB2F8: optimized geometry, PBE.

Cell and atoms, written as extended XYZ:
```
12
Lattice="2.485 1.435 7.463 -2.485 1.435 7.463 0.000 -2.869 7.463" Properties=species:S:1:pos:R:3 pbc="T T T"
K 0.000 0.000 0.000
Cu 0.000 0.000 11.195
B 0.000 0.000 5.558
B 0.000 0.000 16.832
F -1.141 -1.453 9.819
F -1.829 0.262 12.571
F 0.000 0.000 6.980
F -0.688 1.714 9.819
F 0.688 -1.714 12.571
F 0.000 0.000 15.410
F 1.829 -0.262 9.819
F 1.141 1.453 12.571
```

Computed properties:
Raw formation energy = -2.59 eV per atom


# 2
TiOs2C: optimized geometry, PBE.

Cell and atoms, written as extended XYZ:
```
8
Lattice="-3.397 3.397 2.316 3.397 -3.397 2.316 3.397 3.397 -2.316" Properties=species:S:1:pos:R:3 pbc="T T T"
Ti 0.000 0.000 0.000
Ti 0.000 3.397 1.158
Os 1.698 2.446 -0.579
Os 4.348 1.698 0.579
Os 1.698 0.951 1.737
Os -0.951 1.698 2.895
C 3.397 0.000 1.158
C 0.000 0.000 2.316
```

Computed properties:
Energy of formation from the pure elements = 0.11 eV/atom
Fermi-level density of states = 8.01 states/eV/cell


The calculated density results, record by record, are as follows: 2873, 13682 kg/m³.